This record from the Alexandria database describes an optimized crystal structure of ZrSbMoO6. The functional is PBE+U.

Computed properties:
The density of states at the Fermi level comes out at 0.0 states/eV per cell. The calculation puts the total energy at -135.817 eV/cell. The space group is P-31c.

abc: 5.3913 5.3913 9.1102
angles: 90.00 90.00 120.00
Last column: nearest neighbours and their distance in Å.
Element x y z (fractional)
Zr  0.3333  0.6667  0.2500  6 O 2.13
Zr  0.6667  0.3333  0.7500  6 O 2.13
Sb  0.3333  0.6667  0.7500  6 O 2.02
Sb  0.6667  0.3333  0.2500  6 O 2.02
Mo  0.0000  0.0000  0.0000  6 O 2.21
Mo  0.0000  0.0000  0.5000  6 O 2.21
O  0.0152  0.3525  0.6313  1 Sb 2.02, 1 Zr 2.13, 1 Mo 2.21
O  0.0152  0.6627  0.8687  1 Sb 2.02, 1 Zr 2.13, 1 Mo 2.21
O  0.3373  0.3525  0.8687  1 Sb 2.02, 1 Zr 2.13, 1 Mo 2.21
O  0.3373  0.9848  0.6313  1 Sb 2.02, 1 Zr 2.13, 1 Mo 2.21
O  0.3525  0.0152  0.1313  1 Sb 2.02, 1 Zr 2.13, 1 Mo 2.21
O  0.3525  0.3373  0.3687  1 Sb 2.02, 1 Zr 2.13, 1 Mo 2.21
O  0.6475  0.6627  0.6313  1 Sb 2.02, 1 Zr 2.13, 1 Mo 2.21
O  0.6475  0.9848  0.8687  1 Sb 2.02, 1 Zr 2.13, 1 Mo 2.21
O  0.6627  0.0152  0.3687  1 Sb 2.02, 1 Zr 2.13, 1 Mo 2.21
O  0.6627  0.6475  0.1313  1 Sb 2.02, 1 Zr 2.13, 1 Mo 2.21
O  0.9848  0.3373  0.1313  1 Sb 2.02, 1 Zr 2.13, 1 Mo 2.21
O  0.9848  0.6475  0.3687  1 Sb 2.02, 1 Zr 2.13, 1 Mo 2.21